Entry from Alexandria: crystalline Pm2AlIn3 at its relaxed geometry (PBE).

Summary:
total magnetic moment	0.00	μB/f.u.
E above lowest polymorph	0.045	eV/f.u.
total DFT energy (no corrections)	-4.027	eV/atom
formation energy	-450	meV per atom

Cell: 6.1358 6.1358 9.2231 Å, 104.44 104.44 104.49°
Fractional coordinates of all 12 atoms:
Pm 0.2500 0.7500 0.5000
Pm 0.7518 0.7518 0.0000
Pm 0.7500 0.2500 0.5000
Pm 0.2482 0.2482 0.0000
Al 0.6666 0.6666 0.3333
Al 0.3334 0.3334 0.6667
In 0.3412 0.8293 0.1704
In 0.1707 0.6588 0.8296
In 0.6588 0.1707 0.8296
In 0.8293 0.3412 0.1704
In 0.1702 0.1702 0.3404
In 0.8298 0.8298 0.6596